# AlCoF5 | the Alexandria database | PBE+U | optimized geometry
# Final energy in eV per atom: -5.50
# Total magnetic moment in Bohr magnetons per cell: 6.0
# N(E_F) in states/eV per cell: 0.000
data_AlCoF5
_chemical_formula_sum 'Al2 Co2 F10'
_cell_length_a 3.565
_cell_length_b 6.296
_cell_length_c 7.512
_cell_angle_alpha 90.00
_cell_angle_beta 90.00
_cell_angle_gamma 90.00
_space_group_name_H-M_alt 'I m m m'
_space_group_IT_number 71
_space_group_name_Hall '-I 2 2'
loop_
_atom_site_label
_atom_site_type_symbol
_atom_site_fract_x
_atom_site_fract_y
_atom_site_fract_z
Al1 Al 0.000 0.000 0.000
Co1 Co 0.000 0.000 0.500
F1 F 0.000 0.000 0.240
F2 F 0.000 0.294 0.000
F3 F 0.000 0.500 0.500